1.
YSb2As: PBEsol geometry, SCAN.

The space group is P4mm (No. 99) and the conventional cell measures 4.167, 4.167 and 6.221 Å, with angles of 90.00, 90.00 and 90.00 degrees. The asymmetric unit holds Y at (0.000, 0.000, 0.000), Sb at (0.000, 0.000, 0.495), Sb at (0.500, 0.500, 0.387) and As at (0.500, 0.500, 0.957).

The value obtained for the formation energy without anion corrections is -0.71 eV per atom.

---

2.
LiAlAg: PBEsol geometry, SCAN.

The space group is Imm2 (No. 44) and the conventional cell measures 2.983, 3.609 and 8.472 Å, with angles of 90.00, 90.00 and 90.00 degrees. The asymmetric unit holds Li at (0.000, 0.000, 0.000), Al at (0.000, 0.000, 0.330) and Ag at (0.000, 0.000, 0.662).

As for the formation enthalpy at 0 K: -0.227 eV/atom. As for the energy above the most stable polymorph in this dataset: 0.01 eV per formula unit.

---

3.
ZnHNO2: PBEsol geometry, SCAN.

The space group is P4/mmm (No. 123) and the conventional cell measures 3.778, 3.778 and 2.544 Å, with angles of 90.00, 90.00 and 90.00 degrees. The asymmetric unit holds Zn at (0.000, 0.000, 0.000), H at (0.500, 0.500, 0.500), N at (0.500, 0.500, 0.000) and O at (0.000, 0.500, 0.500).

The final energy comes out at -6.87 eV/atom.

---

4.
FePdSeBr2: PBEsol geometry, SCAN.

The space group is P4/mmm (No. 123) and the conventional cell measures 4.923, 4.923 and 4.998 Å, with angles of 90.00, 90.00 and 90.00 degrees. The asymmetric unit holds Fe at (0.000, 0.000, 0.000), Pd at (0.500, 0.500, 0.500), Se at (0.500, 0.500, 0.000) and Br at (0.000, 0.500, 0.500).

The value obtained for the formation energy without anion corrections is 0.39 eV per atom.

---

5.
ReMoPt2: PBEsol geometry, SCAN.

The space group is I-4m2 (No. 119) and the conventional cell measures 3.941, 3.941 and 7.616 Å, with angles of 90.00, 90.00 and 90.00 degrees. The asymmetric unit holds Re at (0.000, 0.000, 0.000), Mo at (0.000, 0.500, 0.750), Pt at (0.000, 0.000, 0.500) and Pt at (0.000, 0.500, 0.250).

As for the formation enthalpy at 0 K: -0.196 eV/atom. As for the energy above the most stable polymorph in this dataset: 0.00 eV per formula unit.

---

6.
Fe2TcP: PBEsol geometry, SCAN.

The space group is P4/mmm (No. 123) and the conventional cell measures 2.627, 2.627 and 6.311 Å, with angles of 90.00, 90.00 and 90.00 degrees. The asymmetric unit holds Fe at (0.000, 0.000, 0.206), Tc at (0.500, 0.500, 0.500) and P at (0.500, 0.500, 0.000).

As for the formation enthalpy at 0 K: -0.051 eV/atom.

---

7.
MgScCd: PBEsol geometry, SCAN.

The space group is P-6m2 (No. 187) and the conventional cell measures 4.8380, 4.8380 and 3.1846 Å, with angles of 90.00, 90.00 and 120.00 degrees. The asymmetric unit holds Mg at (0.0000, 0.0000, 0.0000), Sc at (0.6667, 0.3333, 0.5000) and Cd at (0.3333, 0.6667, 0.0000).

As for the formation enthalpy at 0 K: -0.238 eV/atom.

---

8.
LaNbZnC2: PBEsol geometry, SCAN.

The space group is P4/mmm (No. 123) and the conventional cell measures 4.256, 4.256 and 4.746 Å, with angles of 90.00, 90.00 and 90.00 degrees. The asymmetric unit holds La at (0.000, 0.000, 0.000), Nb at (0.500, 0.500, 0.500), Zn at (0.500, 0.500, 0.000) and C at (0.000, 0.500, 0.500).

As for the formation enthalpy at 0 K: 0.563 eV/atom.

---

9.
ZrCrNi2Rh: PBEsol geometry, SCAN.

The space group is P4/mmm (No. 123) and the conventional cell measures 4.481, 4.481 and 4.638 Å, with angles of 90.00, 90.00 and 90.00 degrees. The asymmetric unit holds Zr at (0.000, 0.000, 0.000), Cr at (0.500, 0.500, 0.500), Ni at (0.000, 0.500, 0.000) and Rh at (0.000, 0.000, 0.500).

As for the formation enthalpy at 0 K: 1.094 eV/atom.

---

10.
CaBeCl4: PBEsol geometry, SCAN.

The space group is F-43m (No. 216) and the conventional cell measures 8.228, 8.228 and 8.228 Å, with angles of 90.00, 90.00 and 90.00 degrees. The asymmetric unit holds Ca at (0.000, 0.000, 0.000), Be at (0.250, 0.250, 0.750) and Cl at (0.124, 0.124, 0.376).

The value obtained for the formation energy without anion corrections is -0.05 eV per atom.

---

11.
Y3GaAs: PBEsol geometry, SCAN.

The space group is Pm-3m (No. 221) and the conventional cell measures 5.264, 5.264 and 5.264 Å, with angles of 90.00, 90.00 and 90.00 degrees. The asymmetric unit holds Y at (0.000, 0.000, 0.500), Ga at (0.500, 0.500, 0.500) and As at (0.000, 0.000, 0.000).

As for the formation enthalpy at 0 K: -0.560 eV/atom.

---

12.
Al2OsAuI: PBEsol geometry, SCAN.

The space group is P4/mmm (No. 123) and the conventional cell measures 4.744, 4.744 and 5.220 Å, with angles of 90.00, 90.00 and 90.00 degrees. The asymmetric unit holds Al at (0.000, 0.500, 0.000), Os at (0.000, 0.000, 0.000), Au at (0.500, 0.500, 0.500) and I at (0.000, 0.000, 0.500).

The value obtained for the formation energy without anion corrections is 0.64 eV per atom.

---

| no. | spin magnetization (μB/f.u.) |
| --- | --- |
| 1 | 0.0 |
| 2 | 0.0 |
| 3 | 0.0 |
| 4 | 3.9 |
| 5 | 0.0 |
| 6 | 0.0 |
| 7 | 0.3 |
| 8 | 0.0 |
| 9 | 4.6 |
| 10 | 2.0 |
| 11 | 0.0 |
| 12 | 0.0 |